# 1
## HfV2P2 (PBE)

Data for HfV2P2 after structural relaxation.

Lattice parameters (Å, degrees): 4.2898 3.2366 10.4414 90.00 94.22 90.00
Element x y z (fractional)
Hf 0.2041 0.2500 0.2635
Hf 0.7959 0.7500 0.7365
V 0.2496 0.7500 0.4931
V 0.3281 0.2500 0.8905
V 0.6719 0.7500 0.1095
V 0.7504 0.2500 0.5069
P 0.1708 0.7500 0.0429
P 0.2796 0.2500 0.6596
P 0.7204 0.7500 0.3404
P 0.8292 0.2500 0.9571

Calculated values
For the calculated density, the calculation gives 7.86 g/cm³. As for the space group: P2_1/m (11). The energy above the most stable polymorph in this dataset is 0.0 meV/atom. The total energy comes out at -8.5501 eV per atom. The calculation puts the formation energy at -748 meV/atom.

***

# 2
## HfV3P2 (PBE)

Data for HfV3P2 after structural relaxation.

Lattice parameters (Å, degrees): 6.8260 6.8260 7.4315 116.56 116.56 34.06
Element x y z (fractional)
Hf 0.1556 0.1556 0.0720
Hf 0.8444 0.8444 0.9280
V 0.0443 0.0443 0.3609
V 0.3133 0.3133 0.5317
V 0.4138 0.4138 0.3220
V 0.5862 0.5862 0.6780
V 0.6867 0.6867 0.4683
V 0.9557 0.9557 0.6391
P 0.1924 0.1924 0.7157
P 0.4804 0.4804 0.8435
P 0.5196 0.5196 0.1565
P 0.8076 0.8076 0.2843

Calculated values
For the calculated density, the calculation gives 7.62 g/cm³. As for the space group: C2/m (12). The total energy comes out at -8.6824 eV per atom. The calculation puts the formation energy at -661 meV/atom.

***

# 3
## Hf2VP (PBE)

Data for Hf2VP after structural relaxation.

Lattice parameters (Å, degrees): 3.2951 3.2951 25.3964 90.00 90.00 120.00
Element x y z (fractional)
Hf 0.0000 0.0000 0.1013
Hf 0.0000 0.0000 0.8987
Hf 0.3333 0.6667 0.5654
Hf 0.3333 0.6667 0.7679
Hf 0.6667 0.3333 0.2321
Hf 0.6667 0.3333 0.4346
V 0.0000 0.0000 0.0000
V 0.3333 0.6667 0.6667
V 0.6667 0.3333 0.3333
P 0.0000 0.0000 0.5000
P 0.3333 0.6667 0.1667
P 0.6667 0.3333 0.8333

Calculated values
For the calculated density, the calculation gives 9.16 g/cm³. As for the space group: R-3m (166). The total energy comes out at -8.5020 eV per atom. The calculation puts the formation energy at 107 meV/atom.

***

# 4
## HfVP (PBE)

Data for HfVP after structural relaxation.

Lattice parameters (Å, degrees): 6.5943 3.4758 7.8542 90.00 90.00 90.00
Element x y z (fractional)
Hf 0.0394 0.2500 0.1688
Hf 0.4606 0.7500 0.6688
Hf 0.5394 0.2500 0.3312
Hf 0.9606 0.7500 0.8312
V 0.1302 0.2500 0.5582
V 0.3698 0.7500 0.0582
V 0.6302 0.2500 0.9418
V 0.8698 0.7500 0.4418
P 0.2391 0.7500 0.3620
P 0.2609 0.2500 0.8620
P 0.7391 0.7500 0.1380
P 0.7609 0.2500 0.6380

Calculated values
For the calculated density, the calculation gives 9.61 g/cm³. As for the space group: Pnma (62). The total energy comes out at -9.2248 eV per atom. The calculation puts the formation energy at -1064 meV/atom.

***

# 5
## HfV2P2 (PBE)

Data for HfV2P2 after structural relaxation.

Lattice parameters (Å, degrees): 4.4331 4.4331 7.7615 90.00 90.00 90.00
Element x y z (fractional)
Hf 0.0000 0.0000 0.0000
Hf 0.5000 0.5000 0.5000
V 0.0000 0.0000 0.3696
V 0.0000 0.0000 0.6304
V 0.5000 0.5000 0.1304
V 0.5000 0.5000 0.8696
P 0.0000 0.5000 0.2500
P 0.0000 0.5000 0.7500
P 0.5000 0.0000 0.2500
P 0.5000 0.0000 0.7500

Calculated values
For the calculated density, the calculation gives 7.45 g/cm³. As for the space group: I4/mmm (139). The energy above the most stable polymorph in this dataset is 309.4 meV/atom. The total energy comes out at -8.2406 eV per atom. The calculation puts the formation energy at -439 meV/atom.

***

# 6
## Hf2VP2 (PBE)

Data for Hf2VP2 after structural relaxation.

Lattice parameters (Å, degrees): 5.2061 3.5227 9.7081 90.00 101.85 90.00
Element x y z (fractional)
Hf 0.1033 0.2500 0.2199
Hf 0.2922 0.2500 0.6143
Hf 0.7078 0.7500 0.3857
Hf 0.8967 0.7500 0.7801
V 0.2735 0.2500 0.9554
V 0.7265 0.7500 0.0446
P 0.2223 0.7500 0.4137
P 0.4153 0.7500 0.8255
P 0.5847 0.2500 0.1745
P 0.7777 0.2500 0.5863

Calculated values
For the calculated density, the calculation gives 8.96 g/cm³. As for the space group: P2_1/m (11). The energy above the most stable polymorph in this dataset is 117.8 meV/atom. The total energy comes out at -8.8338 eV per atom. The calculation puts the formation energy at -865 meV/atom.

***

> What is the calculated density in the third record?

9.16 g/cm³